PuSc2Ni after structural relaxation, computed with PBE.

- Volume: 20.74 A^3/atom
- Energy of formation: -0.178 eV per atom
- Fermi-level density of states: 8.25 states/eV per cell

a = 3.192 Å, b = 3.192 Å, c = 8.144 Å
α = 90.00°, β = 90.00°, γ = 90.00°
Sites, in units of the cell vectors:
1 Pu 0.500 0.500 0.500
2 Ni 0.500 0.500 0.000
3 Sc 0.000 0.000 0.189
4 Sc 0.000 0.000 0.811